Below is crystalline Ga2CoBO6 at its relaxed geometry, with properties calculated at the PBE with a Hubbard U level.

abc: 6.776 6.776 5.014
angles: 104.69 104.69 97.77
Positions (direct):
Ga 0.041 0.228 0.151
Ga 0.228 0.041 0.651
Ga 0.772 0.959 0.349
Ga 0.959 0.772 0.849
Co 0.399 0.601 0.750
Co 0.601 0.399 0.250
B 0.335 0.665 0.250
B 0.665 0.335 0.750
O 0.045 0.199 0.512
O 0.186 0.643 0.969
O 0.199 0.045 0.012
O 0.308 0.459 0.314
O 0.357 0.814 0.531
O 0.459 0.308 0.814
O 0.541 0.692 0.186
O 0.643 0.186 0.469
O 0.692 0.541 0.686
O 0.801 0.955 0.988
O 0.814 0.357 0.031
O 0.955 0.801 0.488

Computed properties:
- Space group: C2/c, No. 15
- Total moment: 4.0 μB per formula unit
- Calculated volume: 210 Å³ per cell
- DFT total energy: -63.612 eV/f.u.